*w*
A plane-wave DFT calculation with PBE was carried out for a relaxed BaNaHgS2 crystal.

extended XYZ file:
```
5
Lattice="5.265 0.000 0.000 0.000 5.265 0.000 0.000 0.000 5.197" Properties=species:S:1:pos:R:3 pbc="T T T"
Ba 0.000 0.000 0.000
Na 2.632 2.632 2.599
Hg 2.632 2.632 0.000
S 0.000 2.632 2.599
S 2.632 0.000 2.599
```

Values from the calculation:
**M_tot**: 0.195 μB per atom

*x*
A plane-wave DFT calculation with PBE was carried out for a relaxed BaNaHgS2 crystal.

extended XYZ file:
```
10
Lattice="7.517 0.000 0.000 0.000 4.956 0.000 -1.717 0.000 7.884" Properties=species:S:1:pos:R:3 pbc="T T T"
Ba -0.429 0.892 1.971
Ba -1.287 4.064 5.913
Na 2.471 2.405 5.913
Na 3.329 2.551 1.971
Hg 3.759 0.000 0.000
Hg 2.900 0.000 3.942
S -0.031 1.664 7.648
S 0.827 3.292 3.706
S 4.973 1.664 4.178
S 5.831 3.292 0.236
```

Values from the calculation:
**M_tot**: 0.000 μB per atom

Stability order, top to bottom: *x*, *w*

*w*
A plane-wave DFT calculation with PBE was carried out for a relaxed BaNaSr2Hg crystal.

extended XYZ file:
```
5
Lattice="6.388 0.000 0.000 0.000 6.388 0.000 0.000 0.000 6.581" Properties=species:S:1:pos:R:3 pbc="T T T"
Ba 0.000 0.000 0.000
Na 3.194 3.194 0.000
Sr 0.000 3.194 3.291
Sr 3.194 0.000 3.291
Hg 0.000 0.000 3.291
```

Values from the calculation:
**M_tot**: 0.000 μB per atom

*x*
A plane-wave DFT calculation with PBE was carried out for a relaxed BaNaSr2Hg crystal.

extended XYZ file:
```
5
Lattice="6.370 0.000 0.000 0.000 6.370 0.000 0.000 0.000 5.971" Properties=species:S:1:pos:R:3 pbc="T T T"
Ba 0.000 0.000 0.000
Na 3.185 3.185 0.000
Sr 0.000 3.185 2.985
Sr 3.185 0.000 2.985
Hg 3.185 3.185 2.985
```

Values from the calculation:
**M_tot**: 0.000 μB per atom

Stability order, top to bottom: *w*, *x*

*w*
A plane-wave DFT calculation with PBE was carried out for a relaxed BaNa2SrHg crystal.

extended XYZ file:
```
5
Lattice="6.031 0.000 0.000 0.000 6.031 0.000 0.000 0.000 6.286" Properties=species:S:1:pos:R:3 pbc="T T T"
Ba 0.000 0.000 0.000
Na 0.000 3.015 3.143
Na 3.015 0.000 3.143
Sr 3.015 3.015 0.000
Hg 3.015 3.015 3.143
```

Values from the calculation:
**M_tot**: 0.000 μB per atom

*x*
A plane-wave DFT calculation with PBE was carried out for a relaxed BaNa2SrHg crystal.

extended XYZ file:
```
5
Lattice="6.031 0.000 0.000 0.000 6.031 0.000 0.000 0.000 6.476" Properties=species:S:1:pos:R:3 pbc="T T T"
Ba 0.000 0.000 0.000
Na 0.000 3.016 3.238
Na 3.016 0.000 3.238
Sr 3.016 3.016 0.000
Hg 0.000 0.000 3.238
```

Values from the calculation:
**M_tot**: 0.000 μB per atom

Stability order, top to bottom: *w*, *x*

*w*
A plane-wave DFT calculation with PBE was carried out for a relaxed Ba2NaSrHg crystal.

extended XYZ file:
```
5
Lattice="6.640 0.000 0.000 0.000 6.640 0.000 0.000 0.000 6.424" Properties=species:S:1:pos:R:3 pbc="T T T"
Ba 0.000 3.320 0.000
Ba 3.320 0.000 0.000
Na 0.000 0.000 3.212
Sr 3.320 3.320 3.212
Hg 3.320 3.320 0.000
```

Values from the calculation:
**M_tot**: 0.000 μB per atom

*x*
A plane-wave DFT calculation with PBE was carried out for a relaxed Ba2NaSrHg crystal.

extended XYZ file:
```
5
Lattice="6.711 0.000 0.000 0.000 6.711 0.000 0.000 0.000 5.890" Properties=species:S:1:pos:R:3 pbc="T T T"
Ba 0.000 3.355 0.000
Ba 3.355 0.000 0.000
Na 0.000 0.000 2.945
Sr 3.355 3.355 2.945
Hg 0.000 0.000 0.000
```

Values from the calculation:
**M_tot**: 0.000 μB per atom

Stability order, top to bottom: *w*, *x*

*w*
A plane-wave DFT calculation with PBE was carried out for a relaxed BaNd2Hg crystal.

extended XYZ file:
```
12
Lattice="3.803 0.000 0.000 -1.901 3.293 0.000 0.000 0.000 36.554" Properties=species:S:1:pos:R:3 pbc="T T T"
Ba 0.000 0.000 0.000
Ba 0.000 2.195 24.369
Ba 1.901 1.098 12.185
Nd 0.000 0.000 3.730
Nd 0.000 0.000 32.824
Nd 0.000 2.195 20.639
Nd 0.000 2.195 28.099
Nd 1.901 1.098 8.455
Nd 1.901 1.098 15.915
Hg 0.000 0.000 18.277
Hg 0.000 2.195 6.092
Hg 1.901 1.098 30.462
```

Values from the calculation:
**M_tot**: 0.000 μB per atom

*x*
A plane-wave DFT calculation with PBE was carried out for a relaxed BaNd2Hg crystal.

extended XYZ file:
```
12
Lattice="3.920 0.000 0.000 -1.960 3.395 0.000 0.000 0.000 34.283" Properties=species:S:1:pos:R:3 pbc="T T T"
Ba 0.000 0.000 0.000
Ba 0.000 2.263 22.855
Ba 1.960 1.132 11.428
Nd 0.000 0.000 19.454
Nd 0.000 0.000 26.262
Nd 0.000 2.263 8.026
Nd 0.000 2.263 14.835
Nd 1.960 1.132 3.407
Nd 1.960 1.132 30.881
Hg 0.000 0.000 5.708
Hg 0.000 2.263 28.563
Hg 1.960 1.132 17.136
```

Values from the calculation:
**M_tot**: 0.000 μB per atom

Stability order, top to bottom: *x*, *w*

*w*
A plane-wave DFT calculation with PBE was carried out for a relaxed BaNdHg4 crystal.

extended XYZ file:
```
6
Lattice="3.665 0.000 0.000 0.000 5.179 0.000 0.000 0.000 9.054" Properties=species:S:1:pos:R:3 pbc="T T T"
Ba 0.000 0.000 0.000
Nd 0.000 2.590 4.527
Hg 1.832 0.000 3.087
Hg 1.832 0.000 5.966
Hg 1.832 2.590 1.606
Hg 1.832 2.590 7.447
```

Values from the calculation:
**M_tot**: 0.000 μB per atom

*x*
A plane-wave DFT calculation with PBE was carried out for a relaxed BaNdHg4 crystal.

extended XYZ file:
```
6
Lattice="0.000 4.401 4.401 4.401 0.000 4.401 4.401 4.401 0.000" Properties=species:S:1:pos:R:3 pbc="T T T"
Ba 0.000 0.000 0.000
Nd 2.200 2.200 2.200
Hg 5.495 3.306 3.306
Hg 3.306 5.495 3.306
Hg 3.306 3.306 5.495
Hg 5.495 5.495 5.495
```

Values from the calculation:
**M_tot**: 0.000 μB per atom

Stability order, top to bottom: *w*, *x*

*w*
A plane-wave DFT calculation with PBE was carried out for a relaxed BaNi3Hg crystal.

extended XYZ file:
```
5
Lattice="4.961 0.000 0.000 0.000 4.961 0.000 0.000 0.000 4.961" Properties=species:S:1:pos:R:3 pbc="T T T"
Ba 0.000 0.000 0.000
Ni 0.000 0.000 2.481
Ni 0.000 2.481 0.000
Ni 2.481 0.000 0.000
Hg 2.481 2.481 2.481
```

Values from the calculation:
**M_tot**: 0.000 μB per atom

*x*
A plane-wave DFT calculation with PBE was carried out for a relaxed BaNi3Hg crystal.

extended XYZ file:
```
5
Lattice="4.891 0.000 0.000 0.000 4.891 0.000 0.000 0.000 4.891" Properties=species:S:1:pos:R:3 pbc="T T T"
Ba 0.000 0.000 0.000
Ni 0.000 2.446 2.446
Ni 2.446 0.000 2.446
Ni 2.446 2.446 0.000
Hg 2.446 2.446 2.446
```

Values from the calculation:
**M_tot**: 0.000 μB per atom

Stability order, top to bottom: *x*, *w*

*w*
A plane-wave DFT calculation with PBE was carried out for a relaxed Ba2Ni2Hg crystal.

extended XYZ file:
```
10
Lattice="6.092 0.000 0.000 0.000 6.092 0.000 0.000 0.000 7.744" Properties=species:S:1:pos:R:3 pbc="T T T"
Ba 0.000 3.046 1.936
Ba 0.000 3.046 5.808
Ba 3.046 0.000 1.936
Ba 3.046 0.000 5.808
Ni 0.000 0.000 1.204
Ni 0.000 0.000 6.541
Ni 3.046 3.046 2.669
Ni 3.046 3.046 5.076
Hg 0.000 0.000 3.872
Hg 3.046 3.046 0.000
```

Values from the calculation:
**M_tot**: 0.000 μB per atom

*x*
A plane-wave DFT calculation with PBE was carried out for a relaxed Ba2Ni2Hg crystal.

extended XYZ file:
```
10
Lattice="3.678 0.000 0.000 0.000 3.678 0.000 0.000 0.000 20.099" Properties=species:S:1:pos:R:3 pbc="T T T"
Ba 0.000 0.000 2.541
Ba 0.000 0.000 17.558
Ba 1.839 1.839 7.508
Ba 1.839 1.839 12.591
Ni 0.000 1.839 5.025
Ni 0.000 1.839 15.074
Ni 1.839 0.000 5.025
Ni 1.839 0.000 15.074
Hg 0.000 0.000 10.050
Hg 1.839 1.839 0.000
```

Values from the calculation:
**M_tot**: 0.172 μB per atom

*y*
A plane-wave DFT calculation with PBE was carried out for a relaxed Ba2Ni2Hg crystal.

extended XYZ file:
```
10
Lattice="7.900 0.000 0.000 0.000 7.900 0.000 0.000 0.000 4.427" Properties=species:S:1:pos:R:3 pbc="T T T"
Ba 1.438 2.512 0.000
Ba 2.512 6.462 0.000
Ba 5.387 1.438 0.000
Ba 6.462 5.387 0.000
Ni 0.823 4.773 2.213
Ni 3.127 0.823 2.213
Ni 4.773 7.077 2.213
Ni 7.077 3.127 2.213
Hg 0.000 0.000 2.213
Hg 3.950 3.950 2.213
```

Values from the calculation:
**M_tot**: 0.000 μB per atom

Stability order, top to bottom: *y*, *w*, *x*

*w*
A plane-wave DFT calculation with PBE was carried out for a relaxed Ba2SrNiHg crystal.

extended XYZ file:
```
5
Lattice="6.074 0.000 0.000 0.000 6.074 0.000 0.000 0.000 5.266" Properties=species:S:1:pos:R:3 pbc="T T T"
Ba 0.000 3.037 0.000
Ba 3.037 0.000 0.000
Sr 0.000 0.000 2.633
Ni 3.037 3.037 0.000
Hg 3.037 3.037 2.633
```

Values from the calculation:
**M_tot**: 0.000 μB per atom

*x*
A plane-wave DFT calculation with PBE was carried out for a relaxed Ba2SrNiHg crystal.

extended XYZ file:
```
5
Lattice="6.005 0.000 0.000 0.000 6.005 0.000 0.000 0.000 5.777" Properties=species:S:1:pos:R:3 pbc="T T T"
Ba 0.000 3.002 0.000
Ba 3.002 0.000 0.000
Sr 0.000 0.000 2.889
Ni 0.000 0.000 0.000
Hg 3.002 3.002 2.889
```

Values from the calculation:
**M_tot**: 0.000 μB per atom

Stability order, top to bottom: *x*, *w*

*w*
A plane-wave DFT calculation with PBE was carried out for a relaxed Ba2TlNiHg crystal.

extended XYZ file:
```
5
Lattice="5.987 0.000 0.000 0.000 5.987 0.000 0.000 0.000 5.025" Properties=species:S:1:pos:R:3 pbc="T T T"
Ba 0.000 2.994 0.000
Ba 2.994 0.000 0.000
Tl 0.000 0.000 2.513
Ni 0.000 0.000 0.000
Hg 2.994 2.994 2.513
```

Values from the calculation:
**M_tot**: 0.000 μB per atom

*x*
A plane-wave DFT calculation with PBE was carried out for a relaxed Ba2TlNiHg crystal.

extended XYZ file:
```
5
Lattice="5.950 0.000 0.000 0.000 5.950 0.000 0.000 0.000 5.040" Properties=species:S:1:pos:R:3 pbc="T T T"
Ba 0.000 2.975 0.000
Ba 2.975 0.000 0.000
Tl 0.000 0.000 2.520
Ni 2.975 2.975 0.000
Hg 2.975 2.975 2.520
```

Values from the calculation:
**M_tot**: 0.000 μB per atom

Stability order, top to bottom: *w*, *x*

*w*
A plane-wave DFT calculation with PBE was carried out for a relaxed BaHgO crystal.

extended XYZ file:
```
6
Lattice="3.745 0.000 0.000 0.000 3.745 0.000 0.000 0.000 13.030" Properties=species:S:1:pos:R:3 pbc="T T T"
Ba 0.000 0.000 0.000
Ba 1.873 1.873 6.515
Hg 0.000 0.000 3.539
Hg 1.873 1.873 10.054
O 0.000 0.000 6.044
O 1.873 1.873 12.559
```

Values from the calculation:
**M_tot**: 0.000 μB per atom

*x*
A plane-wave DFT calculation with PBE was carried out for a relaxed BaHgO crystal.

extended XYZ file:
```
12
Lattice="7.754 0.000 0.000 0.000 4.461 0.000 -2.516 0.000 11.257" Properties=species:S:1:pos:R:3 pbc="T T T"
Ba 0.033 0.000 4.194
Ba 1.328 2.231 7.064
Ba 3.910 2.231 4.194
Ba 5.205 0.000 7.064
Hg -1.225 2.231 10.163
Hg 2.586 0.000 1.094
Hg 2.652 0.000 10.163
Hg 6.463 2.231 1.094
O 0.032 0.000 6.773
O 1.328 2.231 4.484
O 3.909 2.231 6.773
O 5.205 0.000 4.484
```

Values from the calculation:
**M_tot**: 0.000 μB per atom

Stability order, top to bottom: *x*, *w*

*w*
A plane-wave DFT calculation with PBE was carried out for a relaxed BaHg3O crystal.

extended XYZ file:
```
5
Lattice="5.210 0.000 0.000 0.000 5.210 0.000 0.000 0.000 5.210" Properties=species:S:1:pos:R:3 pbc="T T T"
Ba 0.000 0.000 0.000
Hg 0.000 2.605 2.605
Hg 2.605 0.000 2.605
Hg 2.605 2.605 0.000
O 2.605 2.605 2.605
```

Values from the calculation:
**M_tot**: 0.000 μB per atom

*x*
A plane-wave DFT calculation with PBE was carried out for a relaxed BaHg3O crystal.

extended XYZ file:
```
5
Lattice="6.923 0.000 0.000 0.000 6.923 0.000 0.000 0.000 6.923" Properties=species:S:1:pos:R:3 pbc="T T T"
Ba 0.000 0.000 0.000
Hg 0.000 0.000 3.461
Hg 0.000 3.461 0.000
Hg 3.461 0.000 0.000
O 3.461 3.461 3.461
```

Values from the calculation:
**M_tot**: 0.199 μB per atom

Stability order, top to bottom: *w*, *x*

*w*
A plane-wave DFT calculation with PBE was carried out for a relaxed Ba2HgSbO crystal.

extended XYZ file:
```
5
Lattice="5.457 0.000 0.000 0.000 5.457 0.000 0.000 0.000 5.084" Properties=species:S:1:pos:R:3 pbc="T T T"
Ba 0.000 2.729 0.000
Ba 2.729 0.000 0.000
Hg 0.000 0.000 2.542
Sb 2.729 2.729 2.542
O 0.000 0.000 0.000
```

Values from the calculation:
**M_tot**: 0.000 μB per atom

*x*
A plane-wave DFT calculation with PBE was carried out for a relaxed Ba2HgSbO crystal.

extended XYZ file:
```
10
Lattice="9.317 0.000 0.000 0.000 3.795 0.000 -2.189 0.000 9.439" Properties=species:S:1:pos:R:3 pbc="T T T"
Ba 0.713 0.949 3.210
Ba -0.440 0.949 9.235
Ba 7.569 2.846 0.204
Ba 6.416 2.846 6.229
Hg 3.932 2.846 2.630
Hg 3.196 0.949 6.809
Sb 0.721 2.846 6.322
Sb 6.408 0.949 3.117
O 0.536 2.846 1.316
O 6.593 0.949 8.124
```

Values from the calculation:
**M_tot**: 0.000 μB per atom

Stability order, top to bottom: *x*, *w*